[1]
VASP calculation (PBE) on a relaxed Dy2NiIr crystal.

```
8
Lattice="4.165 0.000 0.000 0.000 5.568 0.000 0.000 0.000 7.180" Properties=species:S:1:pos:R:3 pbc="T T T"
Dy 0.000 0.638 0.000
Dy 0.000 4.929 3.590
Dy 2.083 2.124 2.564
Dy 2.083 3.444 6.154
Ni 0.000 2.156 4.597
Ni 0.000 3.412 1.006
Ir 2.083 0.660 5.155
Ir 2.083 4.907 1.564
```

Energy of formation in eV/atom: -0.6669
E in eV/atom: -6.57
Space group: Pmc2_1 (26)
Polymorph energy (0 for the lowest one) in kJ/mol of atoms: 1.7



[2]
VASP calculation (PBE) on a relaxed PrHoMg6 crystal.

```
8
Lattice="5.207 0.000 0.000 0.000 7.410 0.000 0.000 0.000 5.208" Properties=species:S:1:pos:R:3 pbc="T T T"
Pr 0.000 0.000 0.000
Ho 2.603 3.705 2.563
Mg 0.000 1.897 2.607
Mg 0.000 3.705 5.207
Mg 0.000 5.512 2.607
Mg 2.603 0.000 2.571
Mg 2.603 1.897 5.165
Mg 2.603 5.512 5.165
```

E in eV/atom: -2.42
Space group: Pmm2 (25)



[3]
VASP calculation (PBE) on a relaxed PrMgAuS3 crystal.

```
12
Lattice="1.907 -6.364 0.000 1.907 6.364 0.000 0.000 0.000 10.762" Properties=species:S:1:pos:R:3 pbc="T T T"
Pr 0.000 0.000 0.000
Pr 0.000 0.000 5.381
Mg 1.907 3.410 8.072
Mg 1.907 -3.410 2.691
Au 1.907 0.276 2.691
Au 1.907 -0.276 8.072
S 1.907 4.881 2.691
S 1.907 1.960 0.869
S 1.907 1.960 4.512
S 1.907 -1.960 6.250
S 1.907 -1.960 9.893
S 1.907 -4.881 8.072
```

E in eV/atom: -4.76
Space group: Cmcm (63)



[4]
VASP calculation (PBE) on a relaxed SrMg2TlPt crystal.

```
5
Lattice="-2.206 2.206 6.406 2.206 -2.206 6.406 2.206 2.206 -6.406" Properties=species:S:1:pos:R:3 pbc="T T T"
Sr 0.000 0.000 0.000
Mg 2.206 0.000 2.835
Mg 0.000 2.206 2.835
Tl 0.000 0.000 4.901
Pt 0.000 0.000 7.725
```

E in eV/atom: -3.14
Space group: I4mm (107)



[5]
VASP calculation (PBE) on a relaxed CuTeF6 crystal.

```
8
Lattice="4.840 0.000 0.000 2.410 4.211 0.000 2.415 1.381 4.658" Properties=species:S:1:pos:R:3 pbc="T T T"
Cu 0.000 0.000 0.000
Te 4.832 2.796 2.329
F 3.183 2.829 3.515
F 4.037 4.254 1.156
F 5.695 4.207 3.510
F 3.969 1.386 1.148
F 5.627 1.339 3.502
F 6.480 2.763 1.143
```

E in eV/atom: -4.00
Space group: P-1 (2)



[6]
VASP calculation (PBE) on a relaxed PrDyCuTe3 crystal.

```
12
Lattice="2.113 -7.180 0.000 2.113 7.180 0.000 0.000 0.000 11.202" Properties=species:S:1:pos:R:3 pbc="T T T"
Pr 2.113 3.851 8.402
Pr 2.113 -3.851 2.801
Dy 0.000 0.000 0.000
Dy 0.000 0.000 5.601
Cu 2.113 0.418 2.801
Cu 2.113 -0.418 8.402
Te 2.113 5.901 2.801
Te 2.113 2.098 0.737
Te 2.113 2.098 4.864
Te 2.113 -2.098 6.338
Te 2.113 -2.098 10.465
Te 2.113 -5.901 8.402
```

E in eV/atom: -4.82
Space group: Cmcm (63)



[7]
VASP calculation (PBE) on a relaxed PrSmAsO crystal.

```
8
Lattice="4.452 0.000 0.000 0.000 4.452 0.000 0.000 0.000 9.260" Properties=species:S:1:pos:R:3 pbc="T T T"
Pr 1.113 1.113 0.996
Pr 3.339 3.339 8.264
Sm 1.113 3.339 4.630
Sm 3.339 1.113 4.630
As 1.113 1.113 6.504
As 3.339 3.339 2.756
O 1.113 3.339 0.000
O 3.339 1.113 0.000
```

E in eV/atom: -6.63
Space group: P4/nmm (129)
Polymorph energy (0 for the lowest one) in kJ/mol of atoms: 6.8



[8]
VASP calculation (PBE) on a relaxed BaBe2Co crystal.

```
4
Lattice="0.000 3.315 3.315 3.315 0.000 3.315 3.315 3.315 0.000" Properties=species:S:1:pos:R:3 pbc="T T T"
Ba 0.000 0.000 0.000
Be 3.315 3.315 3.315
Be 4.972 4.972 4.972
Co 1.657 1.657 1.657
```

E in eV/atom: -3.02
Space group: F-43m (216)



[9]
VASP calculation (PBE) on a relaxed Co2Mo4CN crystal.

```
8
Lattice="2.919 0.000 0.000 -1.460 2.528 0.000 0.000 0.000 13.364" Properties=species:S:1:pos:R:3 pbc="T T T"
Co 0.000 1.685 3.401
Co 1.460 0.843 9.963
Mo 0.000 1.685 7.914
Mo 0.000 1.685 12.027
Mo 1.460 0.843 1.337
Mo 1.460 0.843 5.450
C 0.000 0.000 6.682
N 0.000 0.000 0.000
```

E in eV/atom: -9.24
Space group: P-3m1 (164)



[10]
VASP calculation (PBE) on a relaxed NaLuNiGe crystal.

```
4
Lattice="0.000 3.354 3.354 3.354 0.000 3.354 3.354 3.354 0.000" Properties=species:S:1:pos:R:3 pbc="T T T"
Na 0.000 0.000 0.000
Lu 3.354 3.354 3.354
Ni 1.677 1.677 1.677
Ge 5.031 5.031 5.031
```

E in eV/atom: -4.12
Space group: F-43m (216)
Polymorph energy (0 for the lowest one) in kJ/mol of atoms: 8.6



[11]
VASP calculation (PBE) on a relaxed Lu2NiN crystal.

```
24
Lattice="4.967 -2.863 0.000 4.967 2.863 0.000 -3.389 0.000 13.621" Properties=species:S:1:pos:R:3 pbc="T T T"
Lu 2.449 2.386 8.337
Lu 2.401 2.386 12.094
Lu 2.475 0.475 1.297
Lu 2.448 0.489 5.513
Lu 0.781 -0.475 8.107
Lu 0.753 -0.489 12.323
Lu 5.791 0.489 1.297
Lu 5.764 0.475 5.514
Lu 4.097 -0.489 8.108
Lu 4.069 -0.475 12.324
Lu 4.143 -2.386 1.527
Lu 4.096 -2.386 5.284
Ni -0.140 0.902 10.209
Ni 1.555 -0.902 3.399
Ni 4.120 0.426 3.405
Ni 2.425 -0.426 10.216
Ni 4.989 0.902 10.222
Ni 6.684 -0.902 3.412
N 0.789 1.431 6.810
N 4.169 1.480 0.000
N 4.070 1.480 6.810
N 2.483 -1.431 0.000
N 2.474 -1.480 6.810
N 5.765 -1.480 0.000
```

E in eV/atom: -6.67
Space group: C2/c (15)
Polymorph energy (0 for the lowest one) in kJ/mol of atoms: 0.0



[12]
VASP calculation (PBE) on a relaxed Cs2Zn2S3O12 crystal.

```
76
Lattice="10.100 0.000 0.000 0.000 10.100 0.000 0.000 0.000 10.100" Properties=species:S:1:pos:R:3 pbc="T T T"
Cs 0.468 0.468 0.468
Cs 1.864 3.186 6.914
Cs 3.186 6.914 1.864
Cs 4.582 9.632 5.517
Cs 5.517 4.582 9.632
Cs 6.914 1.864 3.186
Cs 8.236 8.236 8.236
Cs 9.632 5.517 4.582
Zn 0.955 9.145 4.095
Zn 1.654 6.704 8.445
Zn 3.395 3.395 3.395
Zn 4.095 0.955 9.145
Zn 6.005 6.005 6.005
Zn 6.704 8.445 1.654
Zn 8.445 1.654 6.704
Zn 9.145 4.095 0.955
S 0.213 2.156 3.789
S 1.261 9.886 7.206
S 2.156 3.789 0.213
S 2.894 6.311 5.263
S 3.789 0.213 2.156
S 4.836 7.943 8.838
S 5.263 2.894 6.311
S 6.311 5.263 2.894
S 7.206 1.261 9.886
S 7.943 8.838 4.836
S 8.838 4.836 7.943
S 9.886 7.206 1.261
O 10.098 0.544 7.467
O 0.002 5.594 7.682
O 0.032 0.734 3.383
O 0.354 8.066 2.324
O 0.544 7.467 10.098
O 0.734 3.383 0.032
O 1.026 8.460 7.511
O 1.639 2.461 4.024
O 1.666 10.068 5.784
O 2.034 7.374 4.696
O 2.324 0.354 8.066
O 2.418 5.052 9.555
O 2.461 4.024 1.639
O 2.589 6.076 6.689
O 2.632 5.048 4.505
O 2.726 9.746 3.016
O 3.016 2.726 9.746
O 3.383 0.032 0.734
O 3.410 7.639 9.074
O 4.024 1.639 2.461
O 4.315 6.716 5.082
O 4.505 2.632 5.048
O 4.696 2.034 7.374
O 5.018 9.365 8.433
O 5.048 4.505 2.632
O 5.052 9.555 2.418
O 5.082 4.315 6.716
O 5.403 7.084 7.775
O 5.594 7.682 0.002
O 5.784 1.666 10.068
O 6.076 6.689 2.589
O 6.689 2.589 6.076
O 6.716 5.082 4.315
O 7.084 7.775 5.403
O 7.374 4.696 2.034
O 7.467 10.098 0.544
O 7.511 1.026 8.460
O 7.639 9.074 3.410
O 7.682 0.002 5.594
O 7.775 5.403 7.084
O 8.066 2.324 0.354
O 8.433 5.018 9.365
O 8.460 7.511 1.026
O 9.074 3.410 7.639
O 9.365 8.433 5.018
O 9.555 2.418 5.052
O 9.746 3.016 2.726
O 10.068 5.784 1.666
```

E in eV/atom: -5.56
Space group: P2_13 (198)
Polymorph energy (0 for the lowest one) in kJ/mol of atoms: 4.8